First-principles (PBE) data for a geometry-optimized CsAlPCl2 structure, as listed in the Alexandria database.

a = 5.2821 Å, b = 5.2821 Å, c = 4.6984 Å
α = 90.00°, β = 90.00°, γ = 90.00°
Positions (direct):
Cs (0.0000, 0.0000, 0.0000)
Al (0.5000, 0.5000, 0.5000)
P (0.5000, 0.5000, 0.0000)
Cl (0.0000, 0.5000, 0.5000)
Cl (0.5000, 0.0000, 0.5000)

Calculated values
Energy relative to the elements, uncorrected, eV per atom: -0.795
ρ, Mg/m³: 3.32
Total DFT energy (no corrections), eV per formula unit: -17.68

***

First-principles (PBE) data for a geometry-optimized CoCu2Si structure, as listed in the Alexandria database.

a = 2.5262 Å, b = 2.5262 Å, c = 7.6051 Å
α = 90.00°, β = 90.00°, γ = 90.00°
Positions (direct):
Co (0.0000, 0.0000, 0.0000)
Cu (0.5000, 0.5000, 0.2478)
Cu (0.5000, 0.5000, 0.7522)
Si (0.0000, 0.0000, 0.5000)

Calculated values
Energy relative to the elements, uncorrected, eV per atom: 0.165
ρ, Mg/m³: 7.33
Total DFT energy (no corrections), eV per formula unit: -20.06

***

First-principles (PBE) data for a geometry-optimized BeTc2Cl structure, as listed in the Alexandria database.

a = 6.7304 Å, b = 6.7304 Å, c = 6.7304 Å
α = 27.35°, β = 27.35°, γ = 27.35°
Positions (direct):
Be (0.0000, 0.0000, 0.0000)
Tc (0.2743, 0.2743, 0.2743)
Tc (0.7257, 0.7257, 0.7257)
Cl (0.5000, 0.5000, 0.5000)

Calculated values
Energy relative to the elements, uncorrected, eV per atom: 0.413
ρ, Mg/m³: 7.03
Total DFT energy (no corrections), eV per formula unit: -24.65

***

First-principles (PBE) data for a geometry-optimized Dy6Tm5Sc2 structure, as listed in the Alexandria database.

a = 11.2980 Å, b = 19.9468 Å, c = 3.5170 Å
α = 90.00°, β = 90.00°, γ = 90.00°
Positions (direct):
Dy (0.0620, 0.0825, 0.0000)
Dy (0.0884, 0.3699, 0.0000)
Dy (0.1678, 0.6435, 0.5000)
Dy (0.3322, 0.1435, 0.5000)
Dy (0.4116, 0.8699, 0.0000)
Dy (0.4380, 0.5825, 0.0000)
Dy (0.5620, 0.4175, 0.0000)
Dy (0.5884, 0.1301, 0.0000)
Dy (0.6678, 0.8565, 0.5000)
Dy (0.8322, 0.3565, 0.5000)
Dy (0.9116, 0.6301, 0.0000)
Dy (0.9380, 0.9175, 0.0000)
Tm (0.0000, 0.5000, 0.5000)
Tm (0.0840, 0.2297, 0.5000)
Tm (0.1948, 0.9471, 0.5000)
Tm (0.3052, 0.4471, 0.5000)
Tm (0.4160, 0.7297, 0.5000)
Tm (0.5000, 0.0000, 0.5000)
Tm (0.5840, 0.2703, 0.5000)
Tm (0.6948, 0.5529, 0.5000)
Tm (0.8052, 0.0529, 0.5000)
Tm (0.9160, 0.7703, 0.5000)
Sc (0.1680, 0.7939, 0.0000)
Sc (0.3320, 0.2939, 0.0000)
Sc (0.6680, 0.7061, 0.0000)
Sc (0.8320, 0.2061, 0.0000)

Calculated values
Formation energy, eV/atom: 0.12
ρ, Mg/m³: 8.00
Total DFT energy (no corrections), eV per formula unit: -61.07

***

First-principles (PBE) data for a geometry-optimized Tb4Te2C structure, as listed in the Alexandria database.

a = 7.3362 Å, b = 6.8115 Å, c = 7.9858 Å
α = 90.00°, β = 105.62°, γ = 90.00°
Positions (direct):
Tb (0.0021, 0.0015, 0.2480)
Tb (0.0021, 0.4985, 0.2480)
Tb (0.3864, 0.2500, 0.5846)
Tb (0.3921, 0.2500, 0.1111)
Tb (0.6079, 0.7500, 0.8889)
Tb (0.6136, 0.7500, 0.4154)
Tb (0.9979, 0.5015, 0.7520)
Tb (0.9979, 0.9985, 0.7520)
Te (0.2553, 0.7500, 0.5648)
Te (0.2620, 0.7500, 0.0636)
Te (0.7380, 0.2500, 0.9364)
Te (0.7447, 0.2500, 0.4352)
C (0.2089, 0.2500, 0.3025)
C (0.7911, 0.7500, 0.6975)

Calculated values
Energy relative to the elements, uncorrected, eV per atom: -0.725
ρ, Mg/m³: 7.80
Total DFT energy (no corrections), eV per formula unit: -39.10

***

First-principles (PBE) data for a geometry-optimized Sr3Ni2Sb4 structure, as listed in the Alexandria database.

a = 6.5793 Å, b = 6.5793 Å, c = 9.0481 Å
α = 97.26°, β = 97.26°, γ = 40.78°
Positions (direct):
Sr (0.0000, 0.0000, 0.0000)
Sr (0.3484, 0.3484, 0.3469)
Sr (0.6516, 0.6516, 0.6531)
Ni (0.4051, 0.4051, 0.7221)
Ni (0.5949, 0.5949, 0.2779)
Sb (0.0732, 0.0732, 0.3751)
Sb (0.2784, 0.2784, 0.9076)
Sb (0.7216, 0.7216, 0.0924)
Sb (0.9268, 0.9268, 0.6249)

Calculated values
Energy relative to the elements, uncorrected, eV per atom: -0.655
ρ, Mg/m³: 5.68
Total DFT energy (no corrections), eV per formula unit: -38.99

***

First-principles (PBE) data for a geometry-optimized FeNiTe2 structure, as listed in the Alexandria database.

a = 3.8688 Å, b = 3.8688 Å, c = 6.8636 Å
α = 106.54°, β = 106.54°, γ = 60.20°
Positions (direct):
Fe (0.0000, 0.0000, 0.0000)
Ni (0.2889, 0.2889, 0.8663)
Te (0.5607, 0.5607, 0.6818)
Te (0.7410, 0.7410, 0.2223)

Calculated values
Energy relative to the elements, uncorrected, eV per atom: -0.037
ρ, Mg/m³: 7.29
Total DFT energy (no corrections), eV per formula unit: -20.67

***

First-principles (PBE) data for a geometry-optimized Zn2W structure, as listed in the Alexandria database.

a = 5.4292 Å, b = 5.4292 Å, c = 6.3999 Å
α = 102.62°, β = 102.62°, γ = 29.44°
Positions (direct):
Zn (0.1357, 0.1357, 0.0236)
Zn (0.2023, 0.2023, 0.6445)
Zn (0.7977, 0.7977, 0.3555)
Zn (0.8643, 0.8643, 0.9764)
W (0.4744, 0.4744, 0.6862)
W (0.5256, 0.5256, 0.3138)

Calculated values
Formation energy, eV/atom: 0.24
ρ, Mg/m³: 11.57
Total DFT energy (no corrections), eV per formula unit: -14.79

***

First-principles (PBE) data for a geometry-optimized Pa3B7Os structure, as listed in the Alexandria database.

a = 8.1412 Å, b = 8.1412 Å, c = 9.4558 Å
α = 90.00°, β = 90.00°, γ = 155.03°
Positions (direct):
Pa (0.1075, 0.8925, 0.5605)
Pa (0.1075, 0.8925, 0.9395)
Pa (0.2499, 0.7501, 0.2500)
Pa (0.7501, 0.2499, 0.7500)
Pa (0.8925, 0.1075, 0.0605)
Pa (0.8925, 0.1075, 0.4395)
B (0.2750, 0.7250, 0.5348)
B (0.2750, 0.7250, 0.9652)
B (0.3666, 0.6334, 0.6530)
B (0.3666, 0.6334, 0.8470)
B (0.4574, 0.5426, 0.2500)
B (0.4792, 0.5208, 0.5918)
B (0.4792, 0.5208, 0.9082)
B (0.5208, 0.4792, 0.0918)
B (0.5208, 0.4792, 0.4082)
B (0.5426, 0.4574, 0.7500)
B (0.6334, 0.3666, 0.1530)
B (0.6334, 0.3666, 0.3470)
B (0.7250, 0.2750, 0.0348)
B (0.7250, 0.2750, 0.4652)
Os (0.0526, 0.9474, 0.2500)
Os (0.9474, 0.0526, 0.7500)

Calculated values
Formation energy, eV/atom: -0.48
ρ, Mg/m³: 12.04
Total DFT energy (no corrections), eV per formula unit: -91.73

***

First-principles (PBE) data for a geometry-optimized Sm2Ho3Mg8 structure, as listed in the Alexandria database.

a = 12.8315 Å, b = 12.8315 Å, c = 12.8315 Å
α = 26.40°, β = 26.40°, γ = 26.40°
Positions (direct):
Sm (0.1392, 0.1392, 0.1392)
Sm (0.8608, 0.8608, 0.8608)
Ho (0.3161, 0.3161, 0.3161)
Ho (0.5000, 0.5000, 0.5000)
Ho (0.6839, 0.6839, 0.6839)
Mg (0.2256, 0.2256, 0.2256)
Mg (0.2288, 0.2288, 0.7279)
Mg (0.2288, 0.7279, 0.2288)
Mg (0.2721, 0.7712, 0.7712)
Mg (0.7279, 0.2288, 0.2288)
Mg (0.7712, 0.2721, 0.7712)
Mg (0.7712, 0.7712, 0.2721)
Mg (0.7744, 0.7744, 0.7744)

Calculated values
Formation energy, eV/atom: 0.12
ρ, Mg/m³: 4.47
Total DFT energy (no corrections), eV per formula unit: -34.38

***

First-principles (PBE) data for a geometry-optimized Sm15Sc4In structure, as listed in the Alexandria database.

a = 4.9792 Å, b = 4.9792 Å, c = 25.0189 Å
α = 90.00°, β = 90.00°, γ = 90.00°
Positions (direct):
Sm (0.0000, 0.0000, 0.0000)
Sm (0.0000, 0.0000, 0.1996)
Sm (0.0000, 0.0000, 0.3997)
Sm (0.0000, 0.0000, 0.6003)
Sm (0.0000, 0.0000, 0.8004)
Sm (0.0000, 0.5000, 0.0995)
Sm (0.0000, 0.5000, 0.2998)
Sm (0.0000, 0.5000, 0.5000)
Sm (0.0000, 0.5000, 0.7002)
Sm (0.0000, 0.5000, 0.9005)
Sm (0.5000, 0.0000, 0.0995)
Sm (0.5000, 0.0000, 0.2998)
Sm (0.5000, 0.0000, 0.5000)
Sm (0.5000, 0.0000, 0.7002)
Sm (0.5000, 0.0000, 0.9005)
Sc (0.5000, 0.5000, 0.2000)
Sc (0.5000, 0.5000, 0.4000)
Sc (0.5000, 0.5000, 0.6000)
Sc (0.5000, 0.5000, 0.8000)
In (0.5000, 0.5000, 0.0000)

Calculated values
Formation energy, eV/atom: -0.02
ρ, Mg/m³: 6.83
Total DFT energy (no corrections), eV per formula unit: -99.27

***

First-principles (PBE) data for a geometry-optimized CeDy7Th2 structure, as listed in the Alexandria database.

a = 10.2719 Å, b = 10.2719 Å, c = 3.3964 Å
α = 90.00°, β = 90.00°, γ = 107.18°
Positions (direct):
Ce (0.0000, 0.0000, 0.0000)
Dy (0.1335, 0.3918, 0.5000)
Dy (0.3269, 0.6731, 0.0000)
Dy (0.3918, 0.1335, 0.5000)
Dy (0.5000, 0.5000, 0.5000)
Dy (0.6082, 0.8665, 0.5000)
Dy (0.6731, 0.3269, 0.0000)
Dy (0.8665, 0.6082, 0.5000)
Th (0.1590, 0.8410, 0.5000)
Th (0.8410, 0.1590, 0.5000)

Calculated values
Formation energy, eV/atom: 0.46
ρ, Mg/m³: 8.45
Total DFT energy (no corrections), eV per formula unit: -48.41

***

Look up the ρ of the seventh one.
7.29 Mg/m³

***

Among the records above, which one has the highest ρ?
Pa3B7Os